[1]
PuP2Pt7Pb2 PBE relaxed; uncorrected energy = -80.77 eV/f.u.; D(E_F) = 16.13 states/eV per cell; calculated formation energy = -0.493 eV/atom; SG = I4/mmm (139); spin magnetization = 4.81 Bohr magnetons per cell
1.0
-1.998 1.998 15.238
1.998 -1.998 15.238
1.998 1.998 -15.238
Pu P Pt Pb
1 2 7 2
Direct
0.000 0.000 0.000 Pu
0.383 0.383 0.000 P
0.617 0.617 0.000 P
0.075 0.575 0.500 Pt
0.309 0.309 0.000 Pt
0.425 0.925 0.500 Pt
0.500 0.500 0.000 Pt
0.575 0.075 0.500 Pt
0.691 0.691 0.000 Pt
0.925 0.425 0.500 Pt
0.212 0.212 0.000 Pb
0.788 0.788 0.000 Pb

[2]
NaP2BrCl PBE relaxed; uncorrected energy = -10.91 eV/f.u.; D(E_F) = 4.87 states/eV per cell; SG = P4/mmm (123); spin magnetization = 1.61 Bohr magnetons per cell; ΔE to the lowest computed polymorph = 1.98 eV per formula unit
1.0
5.240 0.000 0.000
0.000 5.240 0.000
0.000 0.000 4.822
Na P Br Cl
1 2 1 1
Direct
0.000 0.000 0.000 Na
0.000 0.500 0.000 P
0.500 0.000 0.000 P
0.500 0.500 0.500 Br
0.000 0.000 0.500 Cl

[3]
TlInPb2O5 PBE relaxed; uncorrected energy = -46.74 eV/f.u.; SG = Cmc2_1 (36); spin magnetization = 0.00 Bohr magnetons per cell
1.0
1.779 -6.603 0.000
1.779 6.603 0.000
0.000 0.000 13.851
Tl In Pb O
2 2 4 10
Direct
0.036 0.964 0.500 Tl
0.964 0.036 0.000 Tl
0.267 0.733 0.094 In
0.733 0.267 0.594 In
0.321 0.679 0.348 Pb
0.424 0.576 0.712 Pb
0.576 0.424 0.212 Pb
0.679 0.321 0.848 Pb
0.066 0.934 0.881 O
0.104 0.896 0.109 O
0.215 0.785 0.489 O
0.247 0.753 0.696 O
0.430 0.570 0.091 O
0.570 0.430 0.591 O
0.753 0.247 0.196 O
0.785 0.215 0.989 O
0.896 0.104 0.609 O
0.934 0.066 0.381 O